# 1
An optimized crystal structure of CoNi5Rh2, computed with PBE.

Values from the calculation:
* formation energy: 27 meV/atom
* total magnetization: 0.89 μB per atom
* D(E_F): 1.253 states/eV per atom
* crystal system: orthorhombic
* raw total energy: -6.31 eV/atom

abc: 3.6072 5.1414 10.2875
angles: 90.00 90.00 90.00
Last column: magnetic moment on the atom in μB.
Element x y z (fractional)
Co  0.0000  0.0000  0.5000  1.89
Co  0.0000  0.5000  0.0000  1.89
Ni  0.0000  0.0000  0.0000  0.79
Ni  0.0000  0.5000  0.5000  0.79
Ni  0.0000  0.4941  0.7518  0.77
Ni  0.0000  0.5059  0.2482  0.77
Ni  0.0000  0.0059  0.2518  0.77
Ni  0.0000  0.9941  0.7482  0.77
Ni  0.5000  0.2467  0.8755  0.81
Ni  0.5000  0.7533  0.1245  0.81
Ni  0.5000  0.2533  0.3755  0.81
Ni  0.5000  0.7467  0.6245  0.81
Rh  0.5000  0.2456  0.6247  0.76
Rh  0.5000  0.7544  0.3753  0.76
Rh  0.5000  0.2544  0.1247  0.76
Rh  0.5000  0.7456  0.8753  0.76

***

# 2
An optimized crystal structure of Co2NiRh, computed with PBE.

Values from the calculation:
* formation energy: 78 meV/atom
* total magnetization: 1.27 μB per atom
* D(E_F): 1.291 states/eV per atom
* crystal system: trigonal
* raw total energy: -6.76 eV/atom

abc: 8.4054 8.4054 8.4054
angles: 17.77 17.77 17.77
Last column: magnetic moment on the atom in μB.
Element x y z (fractional)
Co  0.9964  0.9964  0.9964  1.83
Co  0.2504  0.2504  0.2504  1.72
Ni  0.5036  0.5036  0.5036  0.82
Rh  0.7496  0.7496  0.7496  0.80

***

# 3
An optimized crystal structure of CoNiRh4, computed with PBE.

Values from the calculation:
* formation energy: 53 meV/atom
* total magnetization: 0.22 μB per atom
* D(E_F): 1.719 states/eV per atom
* crystal system: tetragonal
* raw total energy: -7.00 eV/atom

abc: 2.6965 2.6965 10.9209
angles: 90.00 90.00 90.00
Last column: magnetic moment on the atom in μB.
Element x y z (fractional)
Co  0.5000  0.5000  0.5000  1.64
Ni  0.0000  0.0000  0.0000  -0.33
Rh  0.5000  0.5000  0.8387  -0.19
Rh  0.5000  0.5000  0.1613  -0.19
Rh  0.0000  0.0000  0.3388  0.21
Rh  0.0000  0.0000  0.6612  0.21

***

# 4
An optimized crystal structure of Co4Ni7Rh, computed with PBE.

Values from the calculation:
* formation energy: 416 meV/atom
* total magnetization: 1.07 μB per atom
* D(E_F): 1.370 states/eV per atom
* crystal system: monoclinic
* raw total energy: -5.94 eV/atom

abc: 4.3630 7.8517 4.9926
angles: 83.61 64.09 73.87
Last column: magnetic moment on the atom in μB.
Element x y z (fractional)
Co  0.5873  0.2272  0.5983  1.83
Co  0.4127  0.7728  0.4017  1.83
Co  0.7156  0.6886  0.8802  1.88
Co  0.2844  0.3114  0.1198  1.88
Ni  0.7872  0.9110  0.5146  0.70
Ni  0.2128  0.0890  0.4854  0.70
Ni  0.0411  0.6191  0.2986  0.65
Ni  0.9589  0.3809  0.7014  0.65
Ni  0.3457  0.5474  0.7612  0.70
Ni  0.5000  0.0000  0.0000  0.81
Ni  0.6543  0.4526  0.2388  0.70
Rh  0.0000  0.0000  0.0000  0.87

***

# 5
An optimized crystal structure of Co2Ni8Rh, computed with PBE.

Values from the calculation:
* formation energy: 222 meV/atom
* total magnetization: 0.89 μB per atom
* D(E_F): 1.436 states/eV per atom
* crystal system: orthorhombic
* raw total energy: -5.94 eV/atom

abc: 4.2883 6.5064 6.9769
angles: 62.21 72.12 48.81
Last column: magnetic moment on the atom in μB.
Element x y z (fractional)
Co  0.0000  0.3161  0.3678  1.82
Co  0.0000  0.6839  0.6322  1.82
Ni  0.7618  0.1021  0.2719  0.73
Ni  0.7618  0.3740  0.7281  0.73
Ni  0.2461  0.5001  0.0000  0.71
Ni  0.5000  0.7997  0.4006  0.74
Ni  0.5000  0.2003  0.5994  0.74
Ni  0.7539  0.4999  0.0000  0.71
Ni  0.2382  0.6260  0.2719  0.73
Ni  0.2382  0.8979  0.7281  0.73
Rh  0.5000  0.0000  0.0000  0.76

***

# 6
An optimized crystal structure of CoNiRh3, computed with PBE.

Values from the calculation:
* formation energy: 1537 meV/atom
* total magnetization: 0.02 μB per atom
* D(E_F): 5.076 states/eV per atom
* crystal system: cubic
* raw total energy: -5.45 eV/atom

abc: 4.3974 4.3974 4.3974
angles: 90.00 90.00 90.00
Last column: magnetic moment on the atom in μB.
Element x y z (fractional)
Ni  0.0000  0.0000  0.0000  0.09
Rh  0.0000  0.5000  0.0000  -0.07
Rh  0.0000  0.0000  0.5000  -0.06
Rh  0.5000  0.0000  0.0000  -0.08
Co  0.5000  0.5000  0.5000  0.01

***

# 7
An optimized crystal structure of Co2NiRh3, computed with PBE.

Values from the calculation:
* formation energy: 61 meV/atom
* total magnetization: 0.97 μB per atom
* D(E_F): 1.743 states/eV per atom
* crystal system: orthorhombic
* raw total energy: -6.95 eV/atom

abc: 3.7620 5.9388 7.2578
angles: 90.00 89.99 71.53
Last column: magnetic moment on the atom in μB.
Element x y z (fractional)
Co  0.0000  0.0000  0.0000  1.83
Co  0.0000  0.0000  0.5000  1.77
Co  0.3339  0.3321  0.5000  1.75
Co  0.6661  0.6679  0.5000  1.75
Ni  0.3348  0.3303  0.0000  0.60
Ni  0.6652  0.6697  0.0000  0.60
Rh  0.8339  0.3334  0.7493  0.59
Rh  0.4994  0.0000  0.2513  0.61
Rh  0.1661  0.6666  0.2507  0.59
Rh  0.8328  0.3334  0.2507  0.59
Rh  0.1672  0.6666  0.7493  0.59
Rh  0.5006  0.0000  0.7487  0.61

***

# 8
An optimized crystal structure of Co3Ni3Rh2, computed with PBE.

Values from the calculation:
* formation energy: 113 meV/atom
* total magnetization: 1.21 μB per atom
* D(E_F): 1.404 states/eV per atom
* crystal system: monoclinic
* raw total energy: -6.56 eV/atom

abc: 4.1889 4.1860 6.2471
angles: 109.55 109.59 90.00
Last column: magnetic moment on the atom in μB.
Element x y z (fractional)
Co  0.6138  0.1129  0.2277  1.96
Co  0.5000  0.5000  0.0000  1.86
Co  0.3862  0.8871  0.7723  1.96
Ni  0.1119  0.6126  0.2237  0.80
Ni  0.8881  0.3874  0.7763  0.80
Ni  0.0000  0.0000  0.0000  0.70
Rh  0.2490  0.2500  0.4980  0.88
Rh  0.7510  0.7500  0.5020  0.88

***

# 9
An optimized crystal structure of Co4NiRh, computed with PBE.

Values from the calculation:
* formation energy: 126 meV/atom
* total magnetization: 1.40 μB per atom
* D(E_F): 1.277 states/eV per atom
* crystal system: cubic
* raw total energy: -6.80 eV/atom

abc: 4.6573 4.6573 4.6573
angles: 60.00 60.00 60.00
Last column: magnetic moment on the atom in μB.
Element x y z (fractional)
Co  0.8738  0.3754  0.3754  1.76
Co  0.3754  0.3754  0.8738  1.76
Co  0.3754  0.8738  0.3754  1.76
Co  0.3754  0.3754  0.3754  1.76
Ni  0.7500  0.7500  0.7500  0.66
Rh  0.0000  0.0000  0.0000  0.81

***

# 10
An optimized crystal structure of Co7Ni3Rh, computed with PBE.

Values from the calculation:
* formation energy: 439 meV/atom
* total magnetization: 1.38 μB per atom
* D(E_F): 1.315 states/eV per atom
* crystal system: monoclinic
* raw total energy: -6.33 eV/atom

abc: 4.4598 6.1865 6.1865
angles: 80.54 115.85 115.85
Last column: magnetic moment on the atom in μB.
Element x y z (fractional)
Co  0.3670  0.2130  0.2130  1.75
Co  0.3069  0.0444  0.5803  1.76
Co  0.6931  0.4197  0.9556  1.76
Co  0.3069  0.5803  0.0444  1.76
Co  0.0000  0.5000  0.5000  1.91
Co  0.6931  0.9556  0.4197  1.76
Co  0.6330  0.7870  0.7870  1.75
Ni  0.0000  0.7997  0.2003  0.70
Ni  0.5000  0.0000  0.0000  0.76
Ni  0.0000  0.2003  0.7997  0.70
Rh  0.5000  0.5000  0.5000  0.83

***

# 11
An optimized crystal structure of Co3Ni5Rh3, computed with PBE.

Values from the calculation:
* formation energy: 464 meV/atom
* total magnetization: 0.96 μB per atom
* D(E_F): 1.374 states/eV per atom
* crystal system: hexagonal
* raw total energy: -6.11 eV/atom

abc: 2.5536 8.1299 8.1299
angles: 120.00 90.00 90.00
Last column: magnetic moment on the atom in μB.
Element x y z (fractional)
Co  0.5000  0.8389  0.0000  1.67
Co  0.5000  0.1611  0.1611  1.67
Co  0.5000  0.0000  0.8389  1.67
Ni  0.5000  0.6667  0.3333  0.83
Ni  0.5000  0.3333  0.6667  0.83
Ni  0.5000  0.3271  0.0000  0.71
Ni  0.5000  0.6729  0.6729  0.71
Ni  0.5000  0.0000  0.3271  0.71
Rh  0.0000  0.5847  0.0000  0.64
Rh  0.0000  0.0000  0.5847  0.64
Rh  0.0000  0.4153  0.4153  0.64

***

# 12
An optimized crystal structure of Co3NiRh, computed with PBE.

Values from the calculation:
* formation energy: 112 meV/atom
* total magnetization: 1.34 μB per atom
* D(E_F): 1.276 states/eV per atom
* crystal system: monoclinic
* raw total energy: -6.78 eV/atom

abc: 2.5813 9.2510 5.0526
angles: 90.00 90.00 82.04
Last column: magnetic moment on the atom in μB.
Element x y z (fractional)
Co  0.9056  0.1893  0.0090  1.73
Co  0.0944  0.8107  0.9910  1.73
Co  0.9056  0.1893  0.4910  1.73
Co  0.0944  0.8107  0.5090  1.73
Co  0.6798  0.6412  0.2500  1.80
Co  0.3202  0.3588  0.7500  1.80
Ni  0.5019  0.9950  0.2500  0.77
Ni  0.4981  0.0050  0.7500  0.77
Rh  0.3006  0.4013  0.2500  0.79
Rh  0.6994  0.5987  0.7500  0.79